(1)
Pm5NdTmSc2 after structural relaxation. Source: Alexandria, functional PBE.

abc: 5.6841 21.8720 9.4814
angles: 90.00 90.00 90.00
Last column: nearest neighbours and their distance in Å.
Space group Cmc2_1 (No. 36)
Asymmetric unit:
Pm  0.0000  0.0107  0.0000 [4 per cell]  1 Sc 3.22, 2 Tm 3.52
Pm  0.0000  0.2676  0.3165 [4 per cell]  1 Tm 3.08, 1 Sc 3.34, 2 Pm 3.41
Pm  0.0000  0.3039  0.7050 [4 per cell]  2 Nd 3.41, 5 Pm 3.41-3.77, 3 Sc 3.53-3.78, 1 Tm 3.53
Pm  0.0000  0.3925  0.0380 [4 per cell]  4 Sc 3.26-3.51, 2 Pm 3.28-3.61, 1 Tm 3.53
Pm  0.0000  0.4669  0.7379 [4 per cell]  5 Pm 3.28-3.66, 2 Tm 3.29-3.41, 2 Sc 3.45
Nd  0.0000  0.1820  0.0097 [4 per cell]  2 Sc 3.16-3.30, 3 Pm 3.41-3.46, 2 Tm 3.52
Tm  0.0000  0.4026  0.4100 [4 per cell]  3 Pm 3.08-3.41
Sc  0.0000  0.1149  0.3218 [4 per cell]  8 Pm 3.22-3.53, 1 Nd 3.30, 1 Sc 3.58
Sc  0.0000  0.1310  0.6978 [4 per cell]  1 Nd 3.16, 2 Pm 3.26

(2)
Pm3NdTm6Sc2 after structural relaxation. Source: Alexandria, functional PBE.

abc: 6.0788 10.5257 11.6034
angles: 90.00 100.04 90.00
Last column: nearest neighbours and their distance in Å.
Space group C2/m (No. 12)
Asymmetric unit:
Pm  0.0000  0.0000  0.0000 [2 per cell]  6 Pm 3.50-3.51, 6 Tm 3.55-3.56
Pm  0.0000  0.3329  0.0000 [4 per cell]  6 Pm 3.50-3.52, 6 Tm 3.55-3.56
Nd  0.0000  0.5000  0.5000 [2 per cell]  6 Tm 3.46, 6 Sc 3.51
Tm  0.2457  0.0000  0.7441 [4 per cell]  2 Sc 3.44, 1 Nd 3.46, 6 Tm 3.49-3.54, 3 Pm 3.55-3.56
Tm  0.2501  0.1679  0.2560 [8 per cell]  2 Sc 3.44, 1 Nd 3.46, 6 Tm 3.49-3.54, 3 Pm 3.55-3.56
Sc  0.0000  0.1668  0.5000 [4 per cell]  6 Tm 3.44, 3 Nd 3.51, 3 Sc 3.51

(3)
Pm6Nd3Tm2Sc after structural relaxation. Source: Alexandria, functional PBE.

abc: 6.2531 10.8329 11.8656
angles: 90.00 100.11 90.00
Last column: nearest neighbours and their distance in Å.
Space group C2/m (No. 12)
Asymmetric unit:
Pm  0.2461  0.1653  0.2421 [8 per cell]  1 Sc 3.50, 2 Tm 3.52, 6 Pm 3.58-3.63, 3 Nd 3.66-3.67
Pm  0.2499  0.0000  0.7576 [4 per cell]  1 Sc 3.51, 2 Tm 3.52, 6 Pm 3.58-3.63, 3 Nd 3.66-3.67
Nd  0.0000  0.1667  0.5000 [4 per cell]  6 Nd 3.61, 6 Pm 3.66-3.67
Nd  0.0000  0.5000  0.5000 [2 per cell]  6 Nd 3.61, 6 Pm 3.66-3.67
Tm  0.0000  0.3334  0.0000 [4 per cell]  6 Pm 3.52, 3 Tm 3.61, 3 Sc 3.61
Sc  0.0000  0.0000  0.0000 [2 per cell]  6 Pm 3.50-3.51, 6 Tm 3.61

(4)
PmNdTmSc after structural relaxation. Source: Alexandria, functional PBE.

Computed properties:
Energy relative to the lowest polymorph listed for this composition   0.004 eV/atom

abc: 12.1530 5.6698 3.8085
angles: 90.00 108.17 90.00
Last column: nearest neighbours and their distance in Å.
Space group Cm (No. 8)
Asymmetric unit:
Pm  0.0000  0.0000  0.0000 [2 per cell]  4 Sc 3.41-3.43, 2 Tm 3.57-3.59, 2 Nd 3.69-3.72, 2 Pm 3.81
Nd  0.2247  0.5000  0.2173 [2 per cell]  2 Sc 3.31-3.32, 4 Tm 3.44-3.45, 1 Pm 3.69
Tm  0.2630  0.0000  0.7569 [2 per cell]  2 Sc 3.23-3.24, 4 Nd 3.44-3.45, 2 Pm 3.57-3.59
Sc  0.4898  0.0000  0.4856 [2 per cell]  2 Tm 3.23-3.24, 2 Nd 3.31-3.32, 4 Pm 3.41-3.43

(5)
PmNd5Tm2Sc after structural relaxation. Source: Alexandria, functional PBE.

abc: 5.3651 21.8877 10.2861
angles: 90.00 90.00 90.00
Last column: nearest neighbours and their distance in Å.
Space group Cmc2_1 (No. 36)
Asymmetric unit:
Pm  0.0000  0.1008  0.0000 [4 per cell]  6 Nd 3.27-3.50
Nd  0.0000  0.0001  0.2501 [4 per cell]  2 Pm 3.39, 4 Tm 3.70, 6 Nd 3.72-3.77
Nd  0.0000  0.1259  0.4998 [4 per cell]  1 Sc 3.47, 4 Tm 3.73-3.74, 6 Nd 3.77-3.84
Nd  0.0000  0.2214  0.1870 [4 per cell]  2 Nd 3.23, 1 Pm 3.27, 3 Sc 3.31-3.49, 2 Tm 3.59
Nd  0.0000  0.2208  0.8114 [4 per cell]  2 Nd 3.23, 1 Pm 3.27, 3 Sc 3.31-3.50, 2 Tm 3.58
Nd  0.0000  0.4981  0.0000 [4 per cell]  2 Pm 3.50, 4 Tm 3.60-3.64, 6 Nd 3.72-3.82
Tm  0.0000  0.3835  0.7479 [4 per cell]  1 Sc 3.35, 9 Nd 3.59-3.73, 2 Pm 3.72
Tm  0.0000  0.3840  0.2520 [4 per cell]  1 Sc 3.35, 9 Nd 3.58-3.74, 2 Pm 3.72
Sc  0.0000  0.2844  0.4992 [4 per cell]  7 Nd 3.31-3.50, 2 Tm 3.35, 2 Pm 3.68

(6)
PmNd2Tm4Sc after structural relaxation. Source: Alexandria, functional PBE.

abc: 6.7241 11.6836 13.0799
angles: 90.00 90.00 90.00
Last column: nearest neighbours and their distance in Å.
Space group Imma (No. 74)
Asymmetric unit:
Pm  0.0000  0.0000  0.0000 [4 per cell]  6 Tm 3.28-3.37, 2 Nd 3.36
Nd  0.0000  0.0000  0.5000 [4 per cell]  6 Tm 3.28-3.38, 2 Pm 3.36
Nd  0.2500  0.2500  0.2500 [4 per cell]  2 Nd 3.36, 6 Tm 3.46-3.54
Tm  0.0000  0.0165  0.7500 [8 per cell]  2 Sc 3.20, 1 Pm 3.28, 3 Nd 3.28-3.54, 2 Tm 3.36
Tm  0.2501  0.2500  0.5142 [8 per cell]  1 Sc 3.08, 2 Tm 3.36, 2 Pm 3.37, 2 Nd 3.38
Sc  0.2500  0.2500  0.7500 [4 per cell]  6 Tm 3.08-3.20, 2 Sc 3.36

ΔH_f (0 K) per entry: 0.17 0.04 0.03 0.09 0.13 0.42 eV per atom